Record 1
VASP calculation (PBE) on a relaxed Pu3PaN4 crystal.

POSCAR file:
```
Pu3PaN4
1.0
3.482 -4.951 0.000
3.482 4.951 0.000
0.000 0.000 3.510
Pu Pa N
3 1 4
direct
0.000 0.000 0.000
0.000 0.500 0.500
0.500 0.000 0.500
0.500 0.500 0.000
0.253 0.747 0.000
0.258 0.258 0.500
0.742 0.742 0.500
0.747 0.253 0.000
```

Values from the calculation:
ΔE to the lowest computed polymorph, eV/atom: 0.000
ΔE_f (raw), eV/atom: -1.353
Space-group type: Cmmm (65)

=====

Record 2
VASP calculation (PBE) on a relaxed Pr3Pa2Rh4 crystal.

POSCAR file:
```
Pr3Pa2Rh4
1.0
5.989 -1.959 0.000
5.989 1.959 0.000
-1.584 0.000 9.454
Pr Pa Rh
3 2 4
direct
0.000 0.000 0.000
0.374 0.374 0.612
0.626 0.626 0.388
0.317 0.317 0.219
0.683 0.683 0.781
0.077 0.077 0.633
0.306 0.306 0.921
0.694 0.694 0.079
0.923 0.923 0.367
```

Values from the calculation:
ΔE_f, eV/atom: -0.661
Space-group type: C2/m (12)

=====

Record 3
VASP calculation (PBE) on a relaxed Tb14TmMg crystal.

POSCAR file:
```
Tb14TmMg
1.0
10.001 0.000 0.000
0.000 5.002 5.003
0.000 -5.002 5.003
Tb Tm Mg
14 1 1
direct
0.000 0.000 0.000
0.000 0.000 0.500
0.000 0.500 0.000
0.000 0.500 0.500
0.252 0.249 0.249
0.252 0.249 0.751
0.252 0.751 0.249
0.252 0.751 0.751
0.500 0.000 0.500
0.500 0.500 0.000
0.748 0.249 0.249
0.748 0.249 0.751
0.748 0.751 0.249
0.748 0.751 0.751
0.500 0.000 0.000
0.500 0.499 0.499
```

Values from the calculation:
ΔE_f, eV/atom: 0.017
Space-group type: Amm2 (38)